1.
BaTl2Ga2 | SCAN | PBEsol geometry

Results
D(E_F) = 1.421 states/eV/f.u.
V = 26.495 Å³ per atom
formation enthalpy at 0 K = -0.423 eV/atom

abc: 6.5301 6.5301 6.5301
angles: 136.02 136.02 63.95
Positions (direct):
1 Ba 0.0000 0.0000 0.0000
2 Tl 0.2500 0.7500 0.5000
3 Tl 0.7500 0.2500 0.5000
4 Ga 0.3873 0.3873 0.0000
5 Ga 0.6127 0.6127 0.0000

=====

2.
ZrCrSe2 | SCAN | PBEsol geometry

Results
D(E_F) = 1.786 states/eV/f.u.
formation energy from raw total energies = -0.805 eV/atom
V = 23.418 Å³ per atom

abc: 8.5406 8.5406 8.5406
angles: 24.43 24.43 24.43
Positions (direct):
1 Zr 0.0000 0.0000 0.0000
2 Cr 0.5000 0.5000 0.5000
3 Se 0.4008 0.4008 0.4008
4 Se 0.5992 0.5992 0.5992

=====

3.
YCd2In2 | SCAN | PBEsol geometry

Results
D(E_F) = 1.037 states/eV/f.u.
V = 23.952 Å³ per atom
formation enthalpy at 0 K = -0.280 eV/atom

abc: 6.9205 6.9205 6.9205
angles: 142.91 142.91 53.46
Positions (direct):
1 Y 0.0000 0.0000 0.0000
2 Cd 0.3950 0.3950 0.0000
3 Cd 0.6050 0.6050 0.0000
4 In 0.2500 0.7500 0.5000
5 In 0.7500 0.2500 0.5000

=====

4.
SbTe2OsAu | SCAN | PBEsol geometry

Results
D(E_F) = 4.880 states/eV/f.u.
formation energy from raw total energies = 0.860 eV/atom
V = 26.919 Å³ per atom

abc: 5.1891 5.1891 4.9985
angles: 90.00 90.00 90.00
Positions (direct):
1 Sb 0.0000 0.0000 0.0000
2 Te 0.0000 0.5000 0.5000
3 Te 0.5000 0.0000 0.5000
4 Os 0.0000 0.0000 0.5000
5 Au 0.5000 0.5000 0.0000

=====

5.
Zn2BiPbAu | SCAN | PBEsol geometry

Results
D(E_F) = 3.815 states/eV/f.u.
V = 27.240 Å³ per atom
formation enthalpy at 0 K = 0.688 eV/atom

abc: 5.0234 5.0234 5.3974
angles: 90.00 90.00 90.00
Positions (direct):
1 Zn 0.0000 0.5000 0.0000
2 Zn 0.5000 0.0000 0.0000
3 Bi 0.0000 0.0000 0.5000
4 Pb 0.5000 0.5000 0.0000
5 Au 0.5000 0.5000 0.5000

=====

6.
TiSe2IN | SCAN | PBEsol geometry

Results
D(E_F) = 3.902 states/eV/f.u.
formation energy from raw total energies = 0.052 eV/atom
V = 19.893 Å³ per atom

abc: 5.1308 5.1308 3.7783
angles: 90.00 90.00 90.00
Positions (direct):
1 Ti 0.0000 0.0000 0.0000
2 Se 0.0000 0.5000 0.0000
3 Se 0.5000 0.0000 0.0000
4 I 0.5000 0.5000 0.5000
5 N 0.0000 0.0000 0.5000

=====

7.
BaTm2Se4 | SCAN | PBEsol geometry

Results
D(E_F) = 0.000 states/eV/f.u.
formation energy from raw total energies = -2.217 eV/atom
V = 27.330 Å³ per atom

abc: 12.5545 4.1041 14.8517
angles: 90.00 90.00 90.00
Positions (direct):
1 Ba 0.2401 0.2500 0.1658
2 Ba 0.2599 0.7500 0.6658
3 Ba 0.7401 0.2500 0.3342
4 Ba 0.7599 0.7500 0.8342
5 Tm 0.0638 0.2500 0.3919
6 Tm 0.0787 0.2500 0.9007
7 Tm 0.4213 0.7500 0.4007
8 Tm 0.4362 0.7500 0.8919
9 Tm 0.5638 0.2500 0.1081
10 Tm 0.5787 0.2500 0.5993
11 Tm 0.9213 0.7500 0.0993
12 Tm 0.9362 0.7500 0.6081
13 Se 0.0244 0.7500 0.7829
14 Se 0.0850 0.2500 0.5772
15 Se 0.1258 0.7500 0.0246
16 Se 0.2064 0.7500 0.3403
17 Se 0.2936 0.2500 0.8403
18 Se 0.3742 0.2500 0.5246
19 Se 0.4150 0.7500 0.0772
20 Se 0.4756 0.2500 0.2829
21 Se 0.5244 0.7500 0.7171
22 Se 0.5850 0.2500 0.9228
23 Se 0.6258 0.7500 0.4754
24 Se 0.7064 0.7500 0.1597
25 Se 0.7936 0.2500 0.6597
26 Se 0.8742 0.2500 0.9754
27 Se 0.9150 0.7500 0.4228
28 Se 0.9756 0.2500 0.2171

=====

8.
SrZrN3 | SCAN | PBEsol geometry

Results
D(E_F) = 1.669 states/eV/f.u.
formation energy from raw total energies = -0.570 eV/atom
V = 15.331 Å³ per atom

abc: 4.2480 4.2480 4.2480
angles: 90.00 90.00 90.00
Positions (direct):
1 Sr 0.0000 0.0000 0.0000
2 Zr 0.5000 0.5000 0.5000
3 N 0.0000 0.5000 0.5000
4 N 0.5000 0.0000 0.5000
5 N 0.5000 0.5000 0.0000

=====

9.
BaMnRh2 | SCAN | PBEsol geometry

Results
D(E_F) = 4.317 states/eV/f.u.
V = 18.191 Å³ per atom
formation enthalpy at 0 K = 0.015 eV/atom

abc: 3.1143 3.1143 7.5024
angles: 90.00 90.00 90.00
Positions (direct):
1 Ba 0.0000 0.0000 0.0000
2 Mn 0.0000 0.0000 0.5000
3 Rh 0.5000 0.5000 0.3185
4 Rh 0.5000 0.5000 0.6815

=====

10.
KW3I | SCAN | PBEsol geometry

Results
D(E_F) = 5.366 states/eV/f.u.
formation energy from raw total energies = 4.350 eV/atom
V = 19.790 Å³ per atom

abc: 4.6253 4.6253 4.6253
angles: 90.00 90.00 90.00
Positions (direct):
1 K 0.0000 0.0000 0.0000
2 W 0.0000 0.0000 0.5000
3 W 0.0000 0.5000 0.0000
4 W 0.5000 0.0000 0.0000
5 I 0.5000 0.5000 0.5000

=====

11.
AlAgAu2S | SCAN | PBEsol geometry

Results
D(E_F) = 2.012 states/eV/f.u.
formation energy from raw total energies = 0.504 eV/atom
V = 21.390 Å³ per atom

abc: 4.8297 4.8297 4.5849
angles: 90.00 90.00 90.00
Positions (direct):
1 Al 0.0000 0.0000 0.0000
2 Ag 0.5000 0.5000 0.0000
3 Au 0.0000 0.5000 0.5000
4 Au 0.5000 0.0000 0.5000
5 S 0.5000 0.5000 0.5000

=====

12.
AlIF2 | SCAN | PBEsol geometry

Results
formation energy from raw total energies = -2.311 eV/atom
V = 17.155 Å³ per atom

abc: 5.7899 5.7899 5.7899
angles: 60.00 60.00 60.00
Positions (direct):
1 Al 0.1250 0.1250 0.1250
2 Al 0.8750 0.8750 0.8750
3 I 0.3750 0.3750 0.3750
4 I 0.6250 0.6250 0.6250
5 F 0.0000 0.0000 0.0000
6 F 0.0000 0.0000 0.5000
7 F 0.0000 0.5000 0.0000
8 F 0.5000 0.0000 0.0000